Th2Al15Ni10 after structural relaxation. Source: OQMD via LeMat-Bulk, functional PBE-GGA.

a b c (Å): 3.937 11.200 18.050
angles (deg): 90.00 90.00 90.00
Space group Immm (No. 71)
One atom of each set of equivalent atoms:
Th: 0.000 0.000 0.228 (multiplicity 4)
Al: 0.000 0.000 0.000 (multiplicity 2)
Al: 0.000 0.125 0.396 (multiplicity 8)
Al: 0.000 0.174 0.085 (multiplicity 8)
Al: 0.000 0.305 0.205 (multiplicity 8)
Al: 0.000 0.381 0.000 (multiplicity 4)
Ni: 0.000 0.277 0.500 (multiplicity 4)
Ni: 0.000 0.319 0.337 (multiplicity 8)
Ni: 0.000 0.500 0.123 (multiplicity 4)
Ni: 0.000 0.500 0.420 (multiplicity 4)

Results
- Total DFT energy (no corrections): -281.59 eV for the cell shown